# 1
Entry from Alexandria via LeMat-Bulk: a geometry-optimized Sn5Cl structure (GGA-PBE).

Computed properties:
Final energy (eV per atom): -3.750
Formation energy without anion corrections (kJ per mole of atoms): -10.29
Symmetry: No. 65
Crystal system: orthorhombic

The structure in extended XYZ format:
```
12
Lattice="5.382 0.000 0.000 0.000 17.912 0.000 0.000 0.000 3.440" Properties=species:S:1:pos:R:3 pbc="T T T"
Sn 0.000 0.000 0.000
Sn 0.000 2.783 1.720
Sn 0.000 5.598 0.000
Sn 0.000 12.313 0.000
Sn 0.000 15.129 1.720
Sn 2.691 3.357 0.000
Sn 2.691 6.173 1.720
Sn 2.691 8.956 0.000
Sn 2.691 11.738 1.720
Sn 2.691 14.554 0.000
Cl 0.000 8.956 1.720
Cl 2.691 0.000 1.720
```

# 2
Entry from Alexandria via LeMat-Bulk: a geometry-optimized SnCl2 structure (GGA-PBE).

Computed properties:
Final energy (eV per atom): -3.534
Formation energy without anion corrections (kJ per mole of atoms): -93.42
Symmetry: No. 8
Crystal system: monoclinic

The structure in extended XYZ format:
```
6
Lattice="7.440 0.000 0.000 0.000 4.297 0.000 -0.022 0.000 6.345" Properties=species:S:1:pos:R:3 pbc="T T T"
Sn 0.000 0.000 0.000
Sn 3.720 2.148 0.000
Cl 1.227 2.148 1.485
Cl 2.445 0.000 4.861
Cl 4.948 0.000 1.485
Cl 6.166 2.148 4.861
```

# 3
Entry from Alexandria via LeMat-Bulk: a geometry-optimized SrSn2Cl6 structure (GGA-PBE).

Computed properties:
Final energy (eV per atom): -3.769
Formation energy without anion corrections (kJ per mole of atoms): -141.00
Symmetry: No. 12
Crystal system: monoclinic
ΔE to the lowest computed polymorph (meV/atom): 0

The structure in extended XYZ format:
```
9
Lattice="6.677 -2.754 0.000 6.677 2.754 0.000 -4.924 0.000 8.286" Properties=species:S:1:pos:R:3 pbc="T T T"
Sr 0.000 0.000 0.000
Sn -0.550 0.000 5.468
Sn 8.979 0.000 2.817
Cl -3.097 0.000 5.933
Cl 1.766 0.000 2.492
Cl 0.106 0.000 7.976
Cl 8.323 0.000 0.310
Cl 6.663 0.000 5.793
Cl 11.526 0.000 2.353
```

# 4
Entry from Alexandria via LeMat-Bulk: a geometry-optimized SrSnCl4 structure (GGA-PBE).

Computed properties:
Final energy (eV per atom): -3.900
Formation energy without anion corrections (kJ per mole of atoms): -166.10
Symmetry: No. 119
Crystal system: tetragonal
ΔE to the lowest computed polymorph (meV/atom): 0

The structure in extended XYZ format:
```
12
Lattice="5.681 0.000 0.000 0.000 5.681 0.000 0.000 0.000 13.647" Properties=species:S:1:pos:R:3 pbc="T T T"
Sr 0.000 0.000 0.000
Sr 2.840 2.840 6.824
Sn 0.000 2.840 3.412
Sn 2.840 0.000 10.235
Cl 0.000 0.000 2.943
Cl 0.000 0.000 10.704
Cl 0.000 2.840 0.550
Cl 0.000 2.840 6.274
Cl 2.840 0.000 7.374
Cl 2.840 0.000 13.097
Cl 2.840 2.840 3.881
Cl 2.840 2.840 9.767
```

# 5
Entry from Alexandria via LeMat-Bulk: a geometry-optimized Sr3Sn5Cl16 structure (GGA-PBE).

Computed properties:
Final energy (eV per atom): -3.811
Formation energy without anion corrections (kJ per mole of atoms): -148.20
Symmetry: No. 8
Crystal system: monoclinic

The structure in extended XYZ format:
```
24
Lattice="7.573 -4.379 0.000 7.573 4.379 0.000 -0.091 0.000 12.912" Properties=species:S:1:pos:R:3 pbc="T T T"
Sr 0.000 0.000 0.000
Sr 8.667 2.187 6.499
Sr 8.667 -2.187 6.499
Sn 4.792 0.000 6.419
Sn 11.308 2.212 0.017
Sn 7.486 0.000 2.999
Sn 12.537 0.000 9.468
Sn 11.308 -2.212 0.017
Cl 3.668 2.015 7.862
Cl 6.075 2.543 11.097
Cl 2.329 0.000 5.018
Cl 2.439 0.000 11.456
Cl 6.450 1.909 4.600
Cl 4.922 0.000 1.483
Cl 8.953 2.222 1.391
Cl 3.668 -2.015 7.862
Cl 7.348 0.000 7.889
Cl 9.621 0.000 4.784
Cl 6.450 -1.909 4.600
Cl 10.320 0.000 11.228
Cl 6.075 -2.543 11.097
Cl 12.592 0.000 1.423
Cl 8.953 -2.222 1.391
Cl 15.029 0.000 7.951
```

# 6
Entry from Alexandria via LeMat-Bulk: a geometry-optimized Sr2SnCl structure (GGA-PBE).

Computed properties:
Final energy (eV per atom): -3.304
Formation energy without anion corrections (kJ per mole of atoms): -96.57
Symmetry: No. 225
Crystal system: cubic
ΔE to the lowest computed polymorph (meV/atom): 167

The structure in extended XYZ format:
```
16
Lattice="8.070 0.000 0.000 0.000 8.070 0.000 0.000 0.000 8.070" Properties=species:S:1:pos:R:3 pbc="T T T"
Sr 2.018 2.018 2.018
Sr 2.018 2.018 6.053
Sr 2.018 6.053 2.018
Sr 2.018 6.053 6.053
Sr 6.053 2.018 2.018
Sr 6.053 2.018 6.053
Sr 6.053 6.053 2.018
Sr 6.053 6.053 6.053
Sn 0.000 0.000 0.000
Sn 0.000 4.035 4.035
Sn 4.035 0.000 4.035
Sn 4.035 4.035 0.000
Cl 0.000 0.000 4.035
Cl 0.000 4.035 0.000
Cl 4.035 0.000 0.000
Cl 4.035 4.035 4.035
```

# 7
Entry from Alexandria via LeMat-Bulk: a geometry-optimized Sr2SnCl structure (GGA-PBE).

Computed properties:
Final energy (eV per atom): -3.217
Formation energy without anion corrections (kJ per mole of atoms): -88.18
Symmetry: No. 122
Crystal system: tetragonal
ΔE to the lowest computed polymorph (meV/atom): 254

The structure in extended XYZ format:
```
16
Lattice="7.185 0.000 0.000 0.000 7.185 0.000 0.000 0.000 14.178" Properties=species:S:1:pos:R:3 pbc="T T T"
Sr 1.590 1.796 1.772
Sr 1.796 5.182 5.317
Sr 1.796 5.595 12.405
Sr 2.003 1.796 8.861
Sr 5.182 5.389 8.861
Sr 5.389 1.590 12.405
Sr 5.389 2.003 5.317
Sr 5.595 5.389 1.772
Sn 0.000 0.000 7.089
Sn 0.000 3.592 10.633
Sn 3.592 0.000 3.544
Sn 3.592 3.592 0.000
Cl 0.000 0.000 0.000
Cl 0.000 3.592 3.544
Cl 3.592 0.000 10.633
Cl 3.592 3.592 7.089
```

# 8
Entry from Alexandria via LeMat-Bulk: a geometry-optimized SrSnCl3 structure (GGA-PBE).

Computed properties:
Final energy (eV per atom): -3.287
Formation energy without anion corrections (kJ per mole of atoms): -100.55
Symmetry: No. 221
Crystal system: cubic
ΔE to the lowest computed polymorph (meV/atom): 245

The structure in extended XYZ format:
```
5
Lattice="5.589 0.000 0.000 0.000 5.589 0.000 0.000 0.000 5.589" Properties=species:S:1:pos:R:3 pbc="T T T"
Sr 0.000 0.000 0.000
Sn 2.795 2.795 2.795
Cl 0.000 2.795 2.795
Cl 2.795 0.000 2.795
Cl 2.795 2.795 0.000
```

# 9
Entry from Alexandria via LeMat-Bulk: a geometry-optimized Sr2SnCl structure (GGA-PBE).

Computed properties:
Final energy (eV per atom): -3.417
Formation energy without anion corrections (kJ per mole of atoms): -107.44
Symmetry: No. 160
Crystal system: trigonal
ΔE to the lowest computed polymorph (meV/atom): 54

The structure in extended XYZ format:
```
12
Lattice="4.434 0.000 0.000 -2.217 3.840 0.000 0.000 0.000 25.259" Properties=species:S:1:pos:R:3 pbc="T T T"
Sr 0.000 0.000 0.000
Sr 0.000 0.000 4.321
Sr 0.000 2.560 16.840
Sr 0.000 2.560 21.160
Sr 2.217 1.280 8.420
Sr 2.217 1.280 12.741
Sn 0.000 0.000 14.805
Sn 0.000 2.560 6.385
Sn 2.217 1.280 23.224
Cl 0.000 0.000 19.150
Cl 0.000 2.560 10.730
Cl 2.217 1.280 2.311
```

# 10
Entry from Alexandria via LeMat-Bulk: a geometry-optimized SrSn2Cl6 structure (GGA-PBE).

Computed properties:
Final energy (eV per atom): -3.742
Formation energy without anion corrections (kJ per mole of atoms): -138.37
Symmetry: No. 15
Crystal system: monoclinic
ΔE to the lowest computed polymorph (meV/atom): 27

The structure in extended XYZ format:
```
18
Lattice="7.816 -5.024 0.000 7.816 5.024 0.000 -3.702 0.000 7.058" Properties=species:S:1:pos:R:3 pbc="T T T"
Sr 5.039 3.421 5.293
Sr 6.890 -3.421 1.764
Sn 3.797 0.099 1.174
Sn 1.946 -0.099 4.703
Sn 9.983 0.099 2.355
Sn 8.132 -0.099 5.883
Cl -0.751 0.610 4.773
Cl 2.208 2.277 5.784
Cl 1.100 -0.610 1.245
Cl 4.469 0.964 3.564
Cl 7.871 2.277 4.803
Cl 5.609 0.964 7.023
Cl 6.320 -0.964 0.035
Cl 4.059 -2.277 2.255
Cl 7.460 -0.964 3.494
Cl 10.829 0.610 5.813
Cl 9.722 -2.277 1.274
Cl 12.680 -0.610 2.284
```

# 11
Entry from Alexandria via LeMat-Bulk: a geometry-optimized Sr2Sn2Cl structure (GGA-PBE).

Computed properties:
Final energy (eV per atom): -3.603
Formation energy without anion corrections (kJ per mole of atoms): -92.63
Symmetry: No. 127
Crystal system: tetragonal

The structure in extended XYZ format:
```
10
Lattice="8.552 0.000 0.000 0.000 8.552 0.000 0.000 0.000 4.886" Properties=species:S:1:pos:R:3 pbc="T T T"
Sr 1.583 2.693 0.000
Sr 2.693 6.969 0.000
Sr 5.859 1.583 0.000
Sr 6.969 5.859 0.000
Sn 0.953 5.229 2.443
Sn 3.323 0.953 2.443
Sn 5.229 7.599 2.443
Sn 7.599 3.323 2.443
Cl 0.000 0.000 0.000
Cl 4.276 4.276 0.000
```

# 12
Entry from Alexandria via LeMat-Bulk: a geometry-optimized SrSnCl4 structure (GGA-PBE).

Computed properties:
Final energy (eV per atom): -3.893
Formation energy without anion corrections (kJ per mole of atoms): -165.41
Symmetry: No. 14
Crystal system: monoclinic
ΔE to the lowest computed polymorph (meV/atom): 7

The structure in extended XYZ format:
```
12
Lattice="7.105 0.000 0.000 0.000 7.140 0.000 -0.142 0.000 7.154" Properties=species:S:1:pos:R:3 pbc="T T T"
Sr 0.000 0.000 0.000
Sr -0.071 3.570 3.577
Sn 3.481 0.000 3.577
Sn 3.552 3.570 0.000
Cl 1.092 1.130 2.475
Cl 1.021 2.440 6.053
Cl 2.371 4.753 2.362
Cl 2.300 5.957 5.939
Cl 4.663 1.183 1.215
Cl 4.591 2.387 4.792
Cl 5.942 4.700 1.102
Cl 5.870 6.010 4.679
```

- Among the records above, which one has the highest formation energy without anion corrections?
  Sn5Cl